No. 1
Computed, not measured: Ce3Pm3HoS8 after structural relaxation at the PBE-GGA level of DFT.

Lattice parameters (Å, degrees): 8.0454 8.0457 8.0355 120.04 90.00 120.00
Last column: nearest neighbours and their distance in Å.
Fractional positions:
Ce: 0.5000 0.0000 0.5000  6 S 2.84
Ce: 0.5000 0.5000 0.5000  6 S 2.84
Ce: 0.0000 0.5000 0.5000  6 S 2.84
Pm: 0.0000 0.0000 0.0000  6 S 2.84
Pm: 0.0000 0.5000 0.0000  6 S 2.84
Pm: 0.5000 0.5000 0.0000  6 S 2.84
Ho: 0.0000 0.0000 0.5000  6 S 2.77
S: 0.2499 0.4998 0.2496  3 Pm 2.84, 3 Ce 2.84
S: 0.7501 0.5002 0.7504  3 Pm 2.84, 3 Ce 2.84
S: 0.7566 0.5131 0.2566  1 Ho 2.77, 2 Pm 2.84, 2 Ce 2.84
S: 0.2434 0.4869 0.7434  1 Ho 2.77, 2 Pm 2.84, 2 Ce 2.84
S: 0.7566 0.0000 0.2566  1 Ho 2.77, 2 Ce 2.84, 2 Pm 2.84
S: 0.2434 0.0000 0.7434  1 Ho 2.77, 2 Ce 2.84, 2 Pm 2.84
S: 0.2434 0.0000 0.2566  1 Ho 2.77, 2 Ce 2.84, 2 Pm 2.84
S: 0.7566 0.0000 0.7434  1 Ho 2.77, 2 Ce 2.84, 2 Pm 2.84

Values from the calculation:
total magnetic moment: 3.095 μB/cell
uncorrected energy: -100.5 eV for the cell shown
uncorrected formation energy: -2.054 eV per atom

=====

No. 2
Computed, not measured: Tb3PmPr3 after structural relaxation at the PBE-GGA level of DFT.

Lattice parameters (Å, degrees): 5.8546 9.7589 9.7589 120.00 90.00 90.00
Last column: nearest neighbours and their distance in Å.
Fractional positions:
Tb: 0.7500 0.1876 0.9542  6 Tb 3.60-3.62, 5 Pr 3.63-3.74, 1 Pm 3.73
Tb: 0.7500 0.7666 0.8124  6 Tb 3.60-3.62, 5 Pr 3.63-3.74, 1 Pm 3.73
Tb: 0.2500 0.9542 0.7666  6 Tb 3.60-3.62, 5 Pr 3.63-3.74, 1 Pm 3.73
Tb: 0.7500 0.0458 0.2334  6 Tb 3.60-3.62, 5 Pr 3.63-3.74, 1 Pm 3.73
Tb: 0.2500 0.2334 0.1876  6 Tb 3.60-3.62, 5 Pr 3.63-3.74, 1 Pm 3.73
Tb: 0.2500 0.8124 0.0458  6 Tb 3.60-3.62, 5 Pr 3.63-3.74, 1 Pm 3.73
Pm: 0.2500 0.6667 0.3333  9 Pr 3.62-3.69, 3 Tb 3.73
Pm: 0.7500 0.3333 0.6667  9 Pr 3.62-3.69, 3 Tb 3.73
Pr: 0.7500 0.4735 0.3782  3 Pm 3.62-3.69, 5 Tb 3.63-3.74, 4 Pr 3.64-3.70
Pr: 0.7500 0.9046 0.5265  3 Pm 3.62-3.69, 5 Tb 3.63-3.74, 4 Pr 3.64-3.70
Pr: 0.2500 0.3782 0.9046  3 Pm 3.62-3.69, 5 Tb 3.63-3.74, 4 Pr 3.64-3.70
Pr: 0.7500 0.6218 0.0954  3 Pm 3.62-3.69, 5 Tb 3.63-3.74, 4 Pr 3.64-3.70
Pr: 0.2500 0.0954 0.4735  3 Pm 3.62-3.69, 5 Tb 3.63-3.74, 4 Pr 3.64-3.70
Pr: 0.2500 0.5265 0.6218  3 Pm 3.62-3.69, 5 Tb 3.63-3.74, 4 Pr 3.64-3.70

Values from the calculation:
total magnetic moment: 0.000 μB/cell
uncorrected energy: -65.6 eV for the cell shown
E above lowest polymorph: 0.00 eV/f.u.
calculated formation energy: 19 kJ/mol of formula units

=====

No. 3
Computed, not measured: ZrRe2Se after structural relaxation at the PBE-GGA level of DFT.

Lattice parameters (Å, degrees): 3.2103 3.2103 6.5412 90.00 90.00 90.00
Last column: nearest neighbours and their distance in Å.
Fractional positions:
Re: 0.0000 0.0000 0.0146  4 Se 2.74, 4 Zr 2.85
Re: 0.0000 0.0000 0.4854  4 Se 2.74, 4 Zr 2.85
Se: 0.5000 0.5000 0.2500  8 Re 2.74
Zr: 0.5000 0.5000 0.7500  8 Re 2.85

Values from the calculation:
total magnetic moment: 0.000 μB/cell
uncorrected energy: -35.6 eV for the cell shown
uncorrected formation energy: 0.321 eV per atom

=====

No. 4
Computed, not measured: Y3Ho2Tm6Th after structural relaxation at the PBE-GGA level of DFT.

Lattice parameters (Å, degrees): 6.1078 6.1078 11.6780 95.01 95.01 119.97
Last column: nearest neighbours and their distance in Å.
Fractional positions:
Y: 0.1674 0.8326 0.5000  6 Y 3.52-3.54, 6 Tm 3.53-3.54
Y: 0.8326 0.1674 0.5000  6 Y 3.52-3.54, 6 Tm 3.53-3.54
Y: 0.5000 0.5000 0.5000  6 Y 3.52-3.53, 6 Tm 3.53-3.55
Ho: 0.3333 0.6667 0.0000  6 Tm 3.51, 3 Th 3.53, 3 Ho 3.53
Ho: 0.6667 0.3333 0.0000  6 Tm 3.51, 3 Th 3.53, 3 Ho 3.53
Tm: 0.9166 0.5865 0.7515  6 Tm 3.49-3.55, 1 Th 3.50, 2 Ho 3.51, 3 Y 3.53-3.54
Tm: 0.7533 0.7533 0.2484  6 Tm 3.49-3.55, 1 Th 3.49, 2 Ho 3.51, 3 Y 3.53-3.55
Tm: 0.0834 0.4135 0.2485  6 Tm 3.49-3.55, 1 Th 3.50, 2 Ho 3.51, 3 Y 3.53-3.54
Tm: 0.5865 0.9166 0.7515  6 Tm 3.49-3.55, 1 Th 3.50, 2 Ho 3.51, 3 Y 3.53-3.54
Tm: 0.2467 0.2467 0.7516  6 Tm 3.49-3.55, 1 Th 3.49, 2 Ho 3.51, 3 Y 3.53-3.55
Tm: 0.4135 0.0834 0.2485  6 Tm 3.49-3.55, 1 Th 3.50, 2 Ho 3.51, 3 Y 3.53-3.54
Th: 0.0000 0.0000 0.0000  6 Tm 3.49-3.50, 6 Ho 3.53

Values from the calculation:
total magnetic moment: 0.001 μB/cell
uncorrected energy: -62.5 eV for the cell shown
calculated formation energy: 32 kJ/mol of formula units

=====

No. 5
Computed, not measured: YAg2Te after structural relaxation at the PBE-GGA level of DFT.

Lattice parameters (Å, degrees): 3.9157 3.8786 6.8748 73.83 90.00 90.00
Last column: nearest neighbours and their distance in Å.
Fractional positions:
Ag: 0.0000 0.0455 0.0366  4 Ag 2.92
Ag: 0.5000 0.4724 0.1849  4 Ag 2.92, 1 Y 2.95, 2 Te 3.06
Te: 0.0000 0.2900 0.5403  4 Y 3.05, 3 Ag 3.06-3.28
Y: 0.5000 0.6921 0.7382  1 Ag 2.95, 4 Te 3.05

Values from the calculation:
total magnetic moment: 0.000 μB/cell
uncorrected energy: -17.1 eV for the cell shown
uncorrected formation energy: -0.456 eV per atom

=====

No. 6
Computed, not measured: Ag6Sn after structural relaxation at the PBE-GGA level of DFT.

Lattice parameters (Å, degrees): 6.4231 6.4231 6.4231 109.47 109.47 109.47
Last column: nearest neighbours and their distance in Å.
Fractional positions:
Ag: 0.2500 0.7500 0.5000  4 Ag 2.62
Ag: 0.5000 0.7500 0.2500  4 Ag 2.62
Ag: 0.2500 0.5000 0.7500  4 Ag 2.62
Ag: 0.7500 0.2500 0.5000  4 Ag 2.62
Ag: 0.5000 0.2500 0.7500  4 Ag 2.62
Ag: 0.7500 0.5000 0.2500  4 Ag 2.62
Sn: 0.0000 0.0000 0.0000  24 Ag 4.15

Values from the calculation:
total magnetic moment: 0.000 μB/cell
uncorrected energy: -15.9 eV for the cell shown
E above lowest polymorph: 5.04 eV/f.u.
calculated formation energy: 505 kJ/mol of formula units

=====

No. 7
Computed, not measured: Al2TlHg after structural relaxation at the PBE-GGA level of DFT.

Lattice parameters (Å, degrees): 7.8450 7.8450 6.3555 51.89 51.89 90.00
Last column: nearest neighbours and their distance in Å.
Fractional positions:
Tl: 0.0000 0.0000 0.0000  4 Al 2.99, 2 Hg 3.10
Tl: 0.7500 0.2500 0.5000  4 Al 2.99, 2 Hg 3.10
Hg: 0.5000 0.5000 0.0000  4 Al 2.78, 2 Tl 3.10
Hg: 0.2500 0.7500 0.5000  4 Al 2.78, 2 Tl 3.10
Al: 0.6051 0.1250 0.2500  2 Hg 2.78, 2 Tl 2.99
Al: 0.1449 0.6250 0.2500  2 Hg 2.78, 2 Tl 2.99
Al: 0.3750 0.3949 0.7500  2 Hg 2.78, 2 Tl 2.99
Al: 0.8750 0.8551 0.7500  2 Hg 2.78, 2 Tl 2.99

Values from the calculation:
total magnetic moment: 0.000 μB/cell
uncorrected energy: -18.0 eV for the cell shown
calculated formation energy: 112 kJ/mol of formula units

=====

No. 8
Computed, not measured: Pu4AgIrAu2 after structural relaxation at the PBE-GGA level of DFT.

Lattice parameters (Å, degrees): 5.1243 5.1243 8.7210 72.92 72.92 60.00
Last column: nearest neighbours and their distance in Å.
Fractional positions:
Pu: 0.3874 0.3874 0.8378  1 Ir 2.77, 4 Au 2.99-3.08
Pu: 0.8647 0.8647 0.4060  3 Ir 3.06, 4 Au 3.13-3.36, 1 Ag 3.33, 3 Pu 3.34
Pu: 0.1353 0.1353 0.5940  3 Ir 3.06, 4 Au 3.13-3.36, 1 Ag 3.33, 3 Pu 3.34
Pu: 0.6126 0.6126 0.1622  1 Ir 2.77, 4 Au 2.99-3.08
Ag: 0.0000 0.0000 0.0000  8 Pu 3.24-3.33, 6 Au 3.44
Ir: 0.5000 0.5000 0.5000  8 Pu 2.77-3.06
Au: 0.7376 0.7376 0.7871  5 Pu 2.99-3.13
Au: 0.2624 0.2624 0.2129  5 Pu 2.99-3.13

Values from the calculation:
total magnetic moment: 22.747 μB/cell
uncorrected energy: -78.0 eV for the cell shown
calculated formation energy: -233 kJ/mol of formula units

=====

No. 9
Computed, not measured: AcTbPmDy2 after structural relaxation at the PBE-GGA level of DFT.

Lattice parameters (Å, degrees): 6.4524 6.5509 9.3157 110.59 90.00 90.00
Last column: nearest neighbours and their distance in Å.
Fractional positions:
Ac: 0.2500 0.6584 0.3168  1 Pm 3.30, 2 Tb 3.49, 4 Dy 3.61
Ac: 0.7500 0.3416 0.6832  1 Pm 3.30, 2 Tb 3.49, 4 Dy 3.61
Tb: 0.7500 0.7730 0.5460  4 Pm 3.48-3.89, 4 Ac 3.49-3.80
Tb: 0.2500 0.2270 0.4540  4 Pm 3.48-3.89, 4 Ac 3.49-3.80
Pm: 0.2500 0.8476 0.6951  1 Ac 3.30, 2 Tb 3.48, 4 Dy 3.50
Pm: 0.7500 0.1524 0.3049  1 Ac 3.30, 2 Tb 3.48, 4 Dy 3.50
Dy: 0.5000 0.2444 0.0000  4 Dy 3.20-3.35, 2 Pm 3.50
Dy: 0.0000 0.7556 0.0000  4 Dy 3.20-3.35, 2 Pm 3.50
Dy: 0.5000 0.7556 0.0000  4 Dy 3.20-3.35, 2 Pm 3.50
Dy: 0.0000 0.2444 0.0000  4 Dy 3.20-3.35, 2 Pm 3.50

Values from the calculation:
total magnetic moment: 0.000 μB/cell
uncorrected energy: -41.6 eV for the cell shown
calculated formation energy: 182 kJ/mol of formula units

=====

No. 10
Computed, not measured: SrLi2TcO4 after structural relaxation at the PBE-GGA level of DFT.

Lattice parameters (Å, degrees): 5.1264 5.1264 5.1264 99.55 114.65 114.65
Last column: nearest neighbours and their distance in Å.
Fractional positions:
Sr: 0.0000 0.0000 0.0000  4 O 2.48
Li: 0.5000 0.7500 0.2500  4 O 2.09
Li: 0.5000 0.2500 0.7500  4 O 2.09
Tc: 0.0000 0.5000 0.5000  4 O 1.92
O: 0.0000 0.1395 0.5592  1 Tc 1.92, 2 Li 2.09
O: 0.5803 0.4408 0.4408  1 Tc 1.92, 2 Li 2.09
O: 0.4197 0.8605 0.8605  1 Tc 1.92, 2 Li 2.09
O: 0.0000 0.5592 0.1395  1 Tc 1.92, 2 Li 2.09

Values from the calculation:
total magnetic moment: 1.002 μB/cell
uncorrected energy: -50.2 eV for the cell shown
uncorrected formation energy: -1.817 eV per atom

=====

No. 11
Computed, not measured: PmErAlAg after structural relaxation at the PBE-GGA level of DFT.

Lattice parameters (Å, degrees): 5.2021 5.2021 5.2021 60.00 60.00 60.00
Last column: nearest neighbours and their distance in Å.
Fractional positions:
Pm: 0.0000 0.0000 0.0000  4 Al 3.19, 4 Ag 3.19
Al: 0.7500 0.7500 0.7500  4 Er 3.19, 4 Pm 3.19
Ag: 0.2500 0.2500 0.2500  4 Er 3.19, 4 Pm 3.19
Er: 0.5000 0.5000 0.5000  4 Ag 3.19, 4 Al 3.19

Values from the calculation:
total magnetic moment: 0.000 μB/cell
uncorrected energy: -17.2 eV for the cell shown
E above lowest polymorph: 0.13 eV/f.u.
calculated formation energy: -123 kJ/mol of formula units

=====

No. 12
Computed, not measured: CrTc2Pb after structural relaxation at the PBE-GGA level of DFT.

Lattice parameters (Å, degrees): 9.0205 9.0205 9.0205 19.18 19.18 19.18
Last column: nearest neighbours and their distance in Å.
Fractional positions:
Cr: 0.5114 0.5114 0.5114  3 Tc 2.55
Pb: 0.7497 0.7497 0.7497  6 Pb 3.00, 3 Tc 3.01, 3 Cr 3.06
Tc: 0.9903 0.9903 0.9903  3 Tc 2.64
Tc: 0.2486 0.2486 0.2486  3 Cr 2.55, 3 Tc 2.64

Values from the calculation:
total magnetic moment: 1.987 μB/cell
uncorrected energy: -31.6 eV for the cell shown
E above lowest polymorph: 0.66 eV/f.u.
calculated formation energy: 242 kJ/mol of formula units

=====

Please write out number 6 again, unchanged.
Computed, not measured: Ag6Sn after structural relaxation at the PBE-GGA level of DFT.

Lattice parameters (Å, degrees): 6.4231 6.4231 6.4231 109.47 109.47 109.47
Last column: nearest neighbours and their distance in Å.
Fractional positions:
Ag: 0.2500 0.7500 0.5000  4 Ag 2.62
Ag: 0.5000 0.7500 0.2500  4 Ag 2.62
Ag: 0.2500 0.5000 0.7500  4 Ag 2.62
Ag: 0.7500 0.2500 0.5000  4 Ag 2.62
Ag: 0.5000 0.2500 0.7500  4 Ag 2.62
Ag: 0.7500 0.5000 0.2500  4 Ag 2.62
Sn: 0.0000 0.0000 0.0000  24 Ag 4.15

Values from the calculation:
total magnetic moment: 0.000 μB/cell
uncorrected energy: -15.9 eV for the cell shown
E above lowest polymorph: 5.04 eV/f.u.
calculated formation energy: 505 kJ/mol of formula units

=====

Please write out number 9 again, unchanged.
Computed, not measured: AcTbPmDy2 after structural relaxation at the PBE-GGA level of DFT.

Lattice parameters (Å, degrees): 6.4524 6.5509 9.3157 110.59 90.00 90.00
Last column: nearest neighbours and their distance in Å.
Fractional positions:
Ac: 0.2500 0.6584 0.3168  1 Pm 3.30, 2 Tb 3.49, 4 Dy 3.61
Ac: 0.7500 0.3416 0.6832  1 Pm 3.30, 2 Tb 3.49, 4 Dy 3.61
Tb: 0.7500 0.7730 0.5460  4 Pm 3.48-3.89, 4 Ac 3.49-3.80
Tb: 0.2500 0.2270 0.4540  4 Pm 3.48-3.89, 4 Ac 3.49-3.80
Pm: 0.2500 0.8476 0.6951  1 Ac 3.30, 2 Tb 3.48, 4 Dy 3.50
Pm: 0.7500 0.1524 0.3049  1 Ac 3.30, 2 Tb 3.48, 4 Dy 3.50
Dy: 0.5000 0.2444 0.0000  4 Dy 3.20-3.35, 2 Pm 3.50
Dy: 0.0000 0.7556 0.0000  4 Dy 3.20-3.35, 2 Pm 3.50
Dy: 0.5000 0.7556 0.0000  4 Dy 3.20-3.35, 2 Pm 3.50
Dy: 0.0000 0.2444 0.0000  4 Dy 3.20-3.35, 2 Pm 3.50

Values from the calculation:
total magnetic moment: 0.000 μB/cell
uncorrected energy: -41.6 eV for the cell shown
calculated formation energy: 182 kJ/mol of formula units